# 1
Below is a geometry-optimized La2MnTc structure, with properties calculated at the GGA-PBE level.

The structure belongs to space group R-3m (No. 166, hexagonal axes); the cell edges are 3.5440, 3.5440 and 27.2867 Å and the angles 90.00°, 90.00° and 120.00°. The inequivalent atoms are La at (0.0000, 0.0000, 0.2442), Mn at (0.0000, 0.0000, 0.0000) and Tc at (0.0000, 0.0000, 0.5000).

For the relative energy among the computed polymorphs, the calculation gives 274 meV per atom. The energy of formation comes out at 2.1 eV per formula unit.

***

# 2
Below is a geometry-optimized LaMnTc4 structure, with properties calculated at the GGA-PBE level.

The structure belongs to space group F-43m (No. 216); the cell edges are 7.5688, 7.5688 and 7.5688 Å and the angles 90.00°, 90.00° and 90.00°. The inequivalent atoms are La at (0.0000, 0.0000, 0.0000), Mn at (0.2500, 0.2500, 0.7500) and Tc at (0.1243, 0.1243, 0.3757).

The energy of formation comes out at 2.1 eV per formula unit.

***

# 3
Below is a geometry-optimized La4MnTc structure, with properties calculated at the GGA-PBE level.

The structure belongs to space group F-43m (No. 216); the cell edges are 8.8058, 8.8058 and 8.8058 Å and the angles 90.00°, 90.00° and 90.00°. The inequivalent atoms are La at (0.1244, 0.1244, 0.3756), Mn at (0.0000, 0.0000, 0.0000) and Tc at (0.2500, 0.2500, 0.7500).

The energy of formation comes out at 6.0 eV per formula unit.

***

# 4
Below is a geometry-optimized La2MnTc2 structure, with properties calculated at the GGA-PBE level.

The structure belongs to space group P4/mbm (No. 127); the cell edges are 6.9652, 6.9652 and 4.6251 Å and the angles 90.00°, 90.00° and 90.00°. The inequivalent atoms are La at (0.1869, 0.3131, 0.0000), Mn at (0.0000, 0.0000, 0.5000) and Tc at (0.1208, 0.6208, 0.5000).

For the relative energy among the computed polymorphs, the calculation gives 0 meV per atom. The energy of formation comes out at 1.1 eV per formula unit.

***

# 5
Below is a geometry-optimized La2MnTc structure, with properties calculated at the GGA-PBE level.

The structure belongs to space group I-42d (No. 122); the cell edges are 8.1366, 8.1366 and 6.1620 Å and the angles 90.00°, 90.00° and 90.00°. The inequivalent atoms are La at (0.1977, 0.2500, 0.1250), Mn at (0.0000, 0.0000, 0.5000) and Tc at (0.0000, 0.0000, 0.0000).

For the relative energy among the computed polymorphs, the calculation gives 288 meV per atom. The energy of formation comes out at 2.1 eV per formula unit.

***

# 6
Below is a geometry-optimized La2MnTc structure, with properties calculated at the GGA-PBE level.

The structure belongs to space group P4/mmm (No. 123); the cell edges are 3.5960, 3.5960 and 7.5061 Å and the angles 90.00°, 90.00° and 90.00°. The inequivalent atoms are La at (0.0000, 0.0000, 0.2310), Mn at (0.5000, 0.5000, 0.5000) and Tc at (0.5000, 0.5000, 0.0000).

For the relative energy among the computed polymorphs, the calculation gives 33 meV per atom. The energy of formation comes out at 1.1 eV per formula unit.

***

# 7
Below is a geometry-optimized La2MnTc structure, with properties calculated at the GGA-PBE level.

The structure belongs to space group Pm (No. 6); the cell edges are 3.2992, 3.8659 and 8.0047 Å and the angles 90.00°, 98.18° and 90.00°. The inequivalent atoms are La at (0.0000, 0.0000, 0.0000), La at (0.2850, 0.5000, 0.5690), Mn at (0.4749, 0.5000, 0.2360) and Tc at (0.7923, 0.0000, 0.3302).

For the relative energy among the computed polymorphs, the calculation gives 14 meV per atom. The energy of formation comes out at 1.0 eV per formula unit.

***

# 8
Below is a geometry-optimized LaMn3Tc structure, with properties calculated at the GGA-PBE level.

The structure belongs to space group Pm-3m (No. 221); the cell edges are 4.7170, 4.7170 and 4.7170 Å and the angles 90.00°, 90.00° and 90.00°. The inequivalent atoms are La at (0.0000, 0.0000, 0.0000), Mn at (0.0000, 0.5000, 0.5000) and Tc at (0.5000, 0.5000, 0.5000).

For the relative energy among the computed polymorphs, the calculation gives 0 meV per atom. The energy of formation comes out at 3.0 eV per formula unit.